[1]
# PrY2B6

An optimized crystal structure of PrY2B6 (PBE, Alexandria).

Structure (extended XYZ):
```
9
Lattice="5.752 0.000 0.000 -2.876 4.982 0.000 0.000 0.000 3.984" Properties=species:S:1:pos:R:3 pbc="T T T"
Pr 0.000 0.000 0.000
Y 0.000 3.321 0.000
Y 2.876 1.661 0.000
B -0.978 1.693 1.992
B -1.898 3.288 1.992
B 1.955 0.000 1.992
B 0.978 1.693 1.992
B 3.797 0.000 1.992
B 1.898 3.288 1.992
```

Output
Energy, eV/cell: -61.69
E_form, kJ/mol of atoms: -42.0

=====

[2]
# PrZrB12

An optimized crystal structure of PrZrB12 (PBE, Alexandria).

Structure (extended XYZ):
```
14
Lattice="4.104 0.000 0.000 0.000 4.104 0.000 0.000 0.000 8.188" Properties=species:S:1:pos:R:3 pbc="T T T"
Pr 0.000 0.000 0.000
Zr 0.000 0.000 4.094
B 0.815 2.052 2.079
B 0.815 2.052 6.109
B 2.052 0.815 2.079
B 2.052 0.815 6.109
B 2.052 2.052 0.830
B 2.052 2.052 3.296
B 2.052 2.052 4.892
B 2.052 2.052 7.358
B 2.052 3.289 2.079
B 2.052 3.289 6.109
B 3.289 2.052 2.079
B 3.289 2.052 6.109
```

Output
Energy, eV/cell: -96.97
E_form, kJ/mol of atoms: -24.2

=====

[3]
# BPt3

An optimized crystal structure of BPt3 (PBE, Alexandria).

Structure (extended XYZ):
```
8
Lattice="7.173 0.000 0.000 -3.587 6.212 0.000 0.000 0.000 2.743" Properties=species:S:1:pos:R:3 pbc="T T T"
B 0.000 4.141 0.686
B 3.587 2.071 2.057
Pt 0.000 2.453 2.057
Pt -1.462 4.986 2.057
Pt 2.124 1.226 0.686
Pt 1.462 4.986 2.057
Pt 5.049 1.226 0.686
Pt 3.587 3.759 0.686
```

Output
Energy, eV/cell: -49.91
E_form, kJ/mol of atoms: -3.7

=====

[4]
# BPt2

An optimized crystal structure of BPt2 (PBE, Alexandria).

Structure (extended XYZ):
```
6
Lattice="5.270 -1.546 0.000 5.270 1.546 0.000 -1.676 0.000 4.913" Properties=species:S:1:pos:R:3 pbc="T T T"
B 1.396 0.000 0.737
B 7.468 0.000 4.176
Pt 0.664 0.000 3.740
Pt 3.476 0.000 3.530
Pt 5.389 0.000 1.383
Pt 8.200 0.000 1.172
```

Output
Energy, eV/cell: -38.51
E_form, kJ/mol of atoms: -15.9

=====

[5]
# BPt2

An optimized crystal structure of BPt2 (PBE, Alexandria).

Structure (extended XYZ):
```
12
Lattice="5.502 0.000 0.000 0.000 5.339 0.000 -1.204 0.000 5.395" Properties=species:S:1:pos:R:3 pbc="T T T"
B 0.861 0.228 1.591
B 0.259 2.442 4.289
B 4.039 2.897 1.106
B 3.437 5.111 3.804
Pt -0.385 4.000 2.741
Pt 0.217 4.008 0.044
Pt 1.902 1.318 3.194
Pt 2.504 1.351 0.497
Pt 1.794 3.988 4.898
Pt 2.396 4.021 2.200
Pt 4.081 1.331 5.351
Pt 4.683 1.339 2.653
```

Output
Energy, eV/cell: -77.98
E_form, kJ/mol of atoms: -23.7

=====

[6]
# BPt3

An optimized crystal structure of BPt3 (PBE, Alexandria).

Structure (extended XYZ):
```
8
Lattice="5.163 0.000 0.000 -2.581 4.471 0.000 0.000 0.000 4.844" Properties=species:S:1:pos:R:3 pbc="T T T"
B 0.000 2.981 1.211
B 2.581 1.490 3.633
Pt -0.817 1.415 0.000
Pt -1.765 3.057 2.422
Pt 1.634 0.000 0.000
Pt 0.817 1.415 2.422
Pt 3.529 0.000 2.422
Pt 1.765 3.057 0.000
```

Output
Energy, eV/cell: -51.10
E_form, kJ/mol of atoms: -18.1

=====

[7]
# BPt6

An optimized crystal structure of BPt6 (PBE, Alexandria).

Structure (extended XYZ):
```
28
Lattice="10.123 0.000 0.000 0.000 8.365 0.000 0.000 0.000 4.919" Properties=species:S:1:pos:R:3 pbc="T T T"
B 1.266 2.091 0.253
B 3.796 6.274 2.713
B 6.327 2.091 2.206
B 8.858 6.274 4.665
Pt 0.018 4.862 3.663
Pt 0.018 7.686 3.663
Pt 0.103 6.274 1.301
Pt 2.388 6.274 4.212
Pt 2.524 4.861 1.671
Pt 2.524 7.687 1.671
Pt 2.537 0.678 4.130
Pt 2.537 3.504 4.130
Pt 2.674 2.091 1.753
Pt 4.958 2.091 3.761
Pt 5.043 0.679 1.204
Pt 5.043 3.503 1.204
Pt 5.080 4.862 3.715
Pt 5.080 7.686 3.715
Pt 5.165 6.274 1.158
Pt 7.450 6.274 3.166
Pt 7.586 4.861 0.788
Pt 7.586 7.687 0.788
Pt 7.599 0.678 3.248
Pt 7.599 3.504 3.248
Pt 7.735 2.091 0.707
Pt 10.020 2.091 3.617
Pt 10.105 0.679 1.255
Pt 10.105 3.503 1.255
```

Output
Energy, eV/cell: -174.57
E_form, kJ/mol of atoms: -9.9

=====

[8]
# BPt3

An optimized crystal structure of BPt3 (PBE, Alexandria).

Structure (extended XYZ):
```
4
Lattice="3.926 0.000 0.000 0.000 3.926 0.000 0.000 0.000 3.938" Properties=species:S:1:pos:R:3 pbc="T T T"
B 0.000 0.000 0.000
Pt 0.000 1.963 0.771
Pt 1.963 0.000 0.771
Pt 1.963 1.963 2.702
```

Output
Energy, eV/cell: -24.24
E_form, kJ/mol of atoms: 13.4

=====

[9]
# BPt3

An optimized crystal structure of BPt3 (PBE, Alexandria).

Structure (extended XYZ):
```
16
Lattice="-4.633 4.633 2.691 4.633 -4.633 2.691 4.633 4.633 -2.691" Properties=species:S:1:pos:R:3 pbc="T T T"
B 0.156 2.285 0.716
B -2.348 4.476 1.975
B 2.348 4.789 1.975
B -0.156 6.981 0.716
Pt 5.187 1.205 -0.219
Pt 3.209 -2.493 1.992
Pt 1.060 -0.828 1.674
Pt 2.140 1.424 0.699
Pt 3.572 5.460 -1.017
Pt 1.205 4.079 0.219
Pt 3.805 3.572 1.017
Pt 3.428 0.554 2.910
Pt 1.424 7.125 -0.699
Pt 0.828 1.060 3.708
Pt -0.554 3.428 2.472
Pt 2.493 3.209 3.390
```

Output
Energy, eV/cell: -100.78
E_form, kJ/mol of atoms: -9.5

=====

[10]
# BPt2

An optimized crystal structure of BPt2 (PBE, Alexandria).

Structure (extended XYZ):
```
6
Lattice="2.950 0.000 0.000 -1.475 2.555 0.000 0.000 0.000 10.408" Properties=species:S:1:pos:R:3 pbc="T T T"
B 0.000 1.703 2.602
B 1.475 0.852 7.806
Pt 0.000 1.703 6.413
Pt 0.000 1.703 9.199
Pt 1.475 0.852 1.209
Pt 1.475 0.852 3.995
```

Output
Energy, eV/cell: -38.68
E_form, kJ/mol of atoms: -18.7

=====

[11]
# B2Pt13

An optimized crystal structure of B2Pt13 (PBE, Alexandria).

Structure (extended XYZ):
```
15
Lattice="5.205 0.000 0.000 -0.465 5.572 0.000 -0.790 -2.007 7.924" Properties=species:S:1:pos:R:3 pbc="T T T"
B 0.845 0.541 2.099
B 3.105 3.025 5.826
Pt 0.000 0.000 0.000
Pt -0.411 0.444 6.701
Pt -0.054 2.906 5.523
Pt 0.723 -0.243 4.210
Pt 0.967 2.338 3.147
Pt 1.543 4.489 1.690
Pt 2.130 1.627 0.712
Pt 1.821 1.939 7.213
Pt 2.408 -0.923 6.234
Pt 2.983 1.228 4.777
Pt 3.227 3.809 3.715
Pt 4.005 0.660 2.402
Pt 4.361 3.121 1.223
```

Output
Energy, eV/cell: -92.84
E_form, kJ/mol of atoms: -6.2

=====

[12]
# BPt3

An optimized crystal structure of BPt3 (PBE, Alexandria).

Structure (extended XYZ):
```
4
Lattice="-1.408 4.024 2.438 1.408 -4.024 2.438 1.408 4.024 -2.438" Properties=species:S:1:pos:R:3 pbc="T T T"
B 0.000 0.000 0.000
Pt 1.408 1.465 -0.783
Pt 1.408 0.000 1.671
Pt 0.000 2.560 1.655
```

Output
Energy, eV/cell: -25.51
E_form, kJ/mol of atoms: -17.2

=====

[13]
# BPt2

An optimized crystal structure of BPt2 (PBE, Alexandria).

Structure (extended XYZ):
```
3
Lattice="3.259 -2.000 0.000 3.259 2.000 0.000 -2.036 0.000 3.048" Properties=species:S:1:pos:R:3 pbc="T T T"
B 0.000 0.000 0.000
Pt 0.100 0.000 2.284
Pt 4.383 0.000 0.764
```

Output
Energy, eV/cell: -19.37
E_form, kJ/mol of atoms: -19.8

=====

[14]
# B5Pt

An optimized crystal structure of B5Pt (PBE, Alexandria).

Structure (extended XYZ):
```
6
Lattice="1.873 -4.901 0.000 1.873 4.901 0.000 0.000 0.000 3.002" Properties=species:S:1:pos:R:3 pbc="T T T"
B 0.000 0.000 0.000
B 1.873 3.677 1.501
B 1.873 2.938 0.000
B 1.873 -2.938 0.000
B 1.873 -3.677 1.501
Pt 1.873 0.000 1.501
```

Output
Energy, eV/cell: -35.85
E_form, kJ/mol of atoms: 57.5

=====

[15]
# PuBPt3

An optimized crystal structure of PuBPt3 (PBE, Alexandria).

Structure (extended XYZ):
```
5
Lattice="-1.994 1.994 5.150 1.994 -1.994 5.150 1.994 1.994 -5.150" Properties=species:S:1:pos:R:3 pbc="T T T"
Pu 0.000 0.000 0.000
B 0.000 0.000 3.702
Pt 1.994 0.000 2.727
Pt 0.000 0.000 5.806
Pt 0.000 1.994 2.727
```

Output
Energy, eV/cell: -42.60
E_form, kJ/mol of atoms: -66.9

=====

[16]
# PuBPt3

An optimized crystal structure of PuBPt3 (PBE, Alexandria).

Structure (extended XYZ):
```
10
Lattice="2.847 -5.317 0.000 2.847 5.317 0.000 0.000 0.000 5.447" Properties=species:S:1:pos:R:3 pbc="T T T"
Pu 2.847 3.836 4.086
Pu 2.847 -3.836 1.362
B 2.847 0.000 0.000
B 2.847 0.000 2.724
Pt 1.442 1.154 4.086
Pt 2.847 1.721 1.362
Pt 1.442 -1.154 1.362
Pt 4.252 1.154 4.086
Pt 2.847 -1.721 4.086
Pt 4.252 -1.154 1.362
```

Output
Energy, eV/cell: -83.26
E_form, kJ/mol of atoms: -48.2

=====

[17]
# PuB2Pt6

An optimized crystal structure of PuB2Pt6 (PBE, Alexandria).

Structure (extended XYZ):
```
18
Lattice="0.000 5.352 5.352 5.352 0.000 5.352 5.352 5.352 0.000" Properties=species:S:1:pos:R:3 pbc="T T T"
Pu 1.338 1.338 1.338
Pu 9.366 9.366 9.366
B 5.352 2.676 2.676
B 2.676 5.352 2.676
B 2.676 2.676 5.352
B 5.352 5.352 5.352
Pt 4.014 4.014 1.687
Pt 4.014 1.687 4.014
Pt 6.341 4.014 4.014
Pt 6.690 6.690 4.363
Pt 6.690 4.363 6.690
Pt 9.017 6.690 6.690
Pt 1.687 4.014 4.014
Pt 4.014 6.341 4.014
Pt 4.014 4.014 6.341
Pt 4.363 6.690 6.690
Pt 6.690 9.017 6.690
Pt 6.690 6.690 9.017
```

Output
Energy, eV/cell: -135.17
E_form, kJ/mol of atoms: -39.2

=====

[18]
# Pu2BPt5

An optimized crystal structure of Pu2BPt5 (PBE, Alexandria).

Structure (extended XYZ):
```
8
Lattice="-2.851 2.851 4.706 2.851 -2.851 4.706 2.851 2.851 -4.706" Properties=species:S:1:pos:R:3 pbc="T T T"
Pu 2.851 0.000 0.000
Pu 0.000 2.851 0.000
B 0.000 0.000 1.615
Pt 1.439 1.439 2.292
Pt 1.412 -1.412 6.998
Pt 0.000 0.000 8.913
Pt -1.412 1.412 6.998
Pt 1.412 1.412 6.998
```

Output
Energy, eV/cell: -70.77
E_form, kJ/mol of atoms: -63.0

=====

[19]
# Pu3B2Pt9

An optimized crystal structure of Pu3B2Pt9 (PBE, Alexandria).

Structure (extended XYZ):
```
28
Lattice="6.287 0.000 0.000 -3.143 5.445 0.000 0.000 0.000 13.999" Properties=species:S:1:pos:R:3 pbc="T T T"
Pu 0.000 0.000 3.500
Pu 0.000 0.000 10.500
Pu 0.000 3.630 1.168
Pu 0.000 3.630 5.832
Pu 3.143 1.815 8.168
Pu 3.143 1.815 12.831
B 0.000 3.630 8.958
B 0.000 3.630 12.041
B 3.143 1.815 1.959
B 3.143 1.815 5.041
Pt -1.489 2.770 10.500
Pt 0.000 1.686 8.139
Pt 0.000 1.686 12.860
Pt -1.683 4.602 8.139
Pt -1.683 4.602 12.860
Pt 1.460 0.843 1.140
Pt 1.460 0.843 5.860
Pt 1.489 2.770 10.500
Pt 0.000 5.349 10.500
Pt 3.143 0.096 3.500
Pt 1.655 2.674 3.500
Pt 1.683 4.602 8.139
Pt 1.683 4.602 12.860
Pt 4.827 0.843 1.140
Pt 4.827 0.843 5.860
Pt 3.143 3.758 1.140
Pt 3.143 3.758 5.860
Pt 4.632 2.674 3.500
```

Output
Energy, eV/cell: -238.17
E_form, kJ/mol of atoms: -57.7

=====

[20]
# Pu3B2Pt9Rh

An optimized crystal structure of Pu3B2Pt9Rh (PBE, Alexandria).

Structure (extended XYZ):
```
15
Lattice="6.873 0.000 0.000 -3.437 5.953 0.000 0.000 0.000 6.697" Properties=species:S:1:pos:R:3 pbc="T T T"
Pu 0.000 0.000 0.000
Pu 0.000 3.968 4.521
Pu 3.437 1.984 2.176
B 0.000 3.968 0.826
B 3.437 1.984 5.871
Pt -1.718 2.976 0.000
Pt 0.000 2.279 2.163
Pt -1.463 4.813 2.163
Pt 1.974 1.140 4.534
Pt 3.437 0.000 0.000
Pt 1.718 2.976 0.000
Pt 1.463 4.813 2.163
Pt 4.899 1.140 4.534
Pt 3.437 3.673 4.534
Rh 0.000 0.000 3.348
```

Output
Energy, eV/cell: -123.39
E_form, kJ/mol of atoms: -34.2

=====

[21]
# Pu3BPt2Rh3

An optimized crystal structure of Pu3BPt2Rh3 (PBE, Alexandria).

Structure (extended XYZ):
```
9
Lattice="7.297 0.000 0.000 -3.649 6.320 0.000 0.000 0.000 3.513" Properties=species:S:1:pos:R:3 pbc="T T T"
Pu -1.396 2.417 0.000
Pu 2.791 0.000 0.000
Pu 2.253 3.903 0.000
B 0.000 0.000 0.000
Pt 0.000 4.213 1.757
Pt 3.649 2.107 1.757
Rh -2.867 4.966 1.757
Rh 0.782 1.354 1.757
Rh 5.734 0.000 1.757
```

Output
Energy, eV/cell: -88.81
E_form, kJ/mol of atoms: -53.6